Record 1
The following is a GGA-PBE calculation of crystalline TmCdAgCl6 at its relaxed geometry, from the Alexandria database.

Results
Magnetic moment (μB/cell): 0.00
Calculated volume (Å³ per cell): 480
Total DFT energy (no corrections) (eV per atom): -3.60
Uncorrected formation energy (meV/atom): -1456

Cell lengths 6.7206, 6.7206, 12.2621 Å; angles 90.00, 90.00, 120.00 degrees
Space group P-31c (No. 163)
Inequivalent atoms, fractional coordinates:
Tm 0.3333 0.6667 0.2500 x2
Cd 0.3333 0.6667 0.7500 x2
Ag 0.0000 0.0000 0.0000 x2
Cl 0.0057 0.3518 0.1291 x12

***

Record 2
The following is a GGA-PBE calculation of crystalline Sr2CaPbN at its relaxed geometry, from the Alexandria database.

Results
Magnetic moment (μB/cell): 0.00
Calculated volume (Å³ per cell): 139
Total DFT energy (no corrections) (eV per atom): -4.13
Uncorrected formation energy (meV/atom): -650

Cell lengths 5.347, 5.347, 4.869 Å; angles 90.00, 90.00, 90.00 degrees
Space group P4/mmm (No. 123)
Inequivalent atoms, fractional coordinates:
Sr 0.000 0.500 0.000 x2
Ca 0.000 0.000 0.500 x1
Pb 0.500 0.500 0.500 x1
N 0.000 0.000 0.000 x1

***

Record 3
The following is a GGA-PBE calculation of crystalline PtPbW2 at its relaxed geometry, from the Alexandria database.

Results
Magnetic moment (μB/cell): 0.00
Calculated volume (Å³ per cell): 145
Total DFT energy (no corrections) (eV per atom): -8.18
E_form (eV/atom): 0.73

Cell lengths 3.804, 4.336, 8.769 Å; angles 90.00, 90.00, 90.00 degrees
Space group Cmmm (No. 65)
Inequivalent atoms, fractional coordinates:
Pt 0.000 0.000 0.000 x2
Pb 0.000 0.000 0.500 x2
W 0.000 0.500 0.227 x4

***

Record 4
The following is a GGA-PBE calculation of crystalline La2InSi at its relaxed geometry, from the Alexandria database.

Results
Magnetic moment (μB/cell): 0.00
Calculated volume (Å³ per cell): 465
Total DFT energy (no corrections) (eV per atom): -5.10
Uncorrected formation energy (meV/atom): -595

Cell lengths 7.074, 4.664, 14.083 Å; angles 90.00, 90.00, 90.00 degrees
Space group Amm2 (No. 38)
Inequivalent atoms, fractional coordinates:
La 0.000 0.000 0.000 x2
La 0.000 0.000 0.258 x2
La 0.500 0.000 0.158 x2
La 0.500 0.000 0.454 x2
In 0.298 0.000 0.815 x4
Si 0.179 0.000 0.621 x4

***

Record 5
The following is a GGA-PBE calculation of crystalline Mg3Si2Pd6 at its relaxed geometry, from the Alexandria database.

Results
Magnetic moment (μB/cell): 0.00
Calculated volume (Å³ per cell): 787
Total DFT energy (no corrections) (eV per atom): -4.85
Uncorrected formation energy (meV/atom): -600

Cell lengths 9.234, 9.234, 9.234 Å; angles 90.00, 90.00, 90.00 degrees
Space group Im-3m (No. 229)
Inequivalent atoms, fractional coordinates:
Mg 0.000 0.000 0.330 x12
Si 0.250 0.250 0.250 x8
Pd 0.000 0.306 0.306 x24

***

Record 6
The following is a GGA-PBE calculation of crystalline PmSm3Pd12 at its relaxed geometry, from the Alexandria database.

Results
Magnetic moment (μB/cell): 0.00
Calculated volume (Å³ per cell): 291
Total DFT energy (no corrections) (eV per atom): -5.88
E_form (eV/atom): -0.80

Cell lengths 4.166, 4.166, 16.783 Å; angles 90.00, 90.00, 90.00 degrees
Space group P4/mmm (No. 123)
Inequivalent atoms, fractional coordinates:
Pm 0.000 0.000 0.000 x1
Sm 0.000 0.000 0.251 x2
Sm 0.000 0.000 0.500 x1
Pd 0.000 0.500 0.126 x4
Pd 0.000 0.500 0.375 x4
Pd 0.500 0.500 0.000 x1
Pd 0.500 0.500 0.250 x2
Pd 0.500 0.500 0.500 x1

***

Record 7
The following is a GGA-PBE calculation of crystalline Ba3Zn2Cd at its relaxed geometry, from the Alexandria database.

Results
Magnetic moment (μB/cell): 0.00
Calculated volume (Å³ per cell): 433
Total DFT energy (no corrections) (eV per atom): -1.75
E_form (eV/atom): -0.21

Cell lengths 5.912, 17.694, 4.139 Å; angles 90.00, 90.00, 90.00 degrees
Space group Cmmm (No. 65)
Inequivalent atoms, fractional coordinates:
Ba 0.000 0.000 0.000 x2
Ba 0.000 0.329 0.000 x4
Zn 0.000 0.164 0.500 x4
Cd 0.000 0.500 0.500 x2

***

Record 8
The following is a GGA-PBE calculation of crystalline CaInCo at its relaxed geometry, from the Alexandria database.

Results
Magnetic moment (μB/cell): 8.01
Calculated volume (Å³ per cell): 550
Total DFT energy (no corrections) (eV per atom): -3.94
E_form (eV/atom): 0.01

Cell lengths 6.154, 11.984, 7.457 Å; angles 90.00, 90.00, 90.00 degrees
Space group Cmce (No. 64)
Inequivalent atoms, fractional coordinates:
Ca 0.000 0.188 0.105 x8
In 0.250 0.051 0.750 x8
Co 0.000 0.088 0.461 x8

***

Record 9
The following is a GGA-PBE calculation of crystalline CaPrDy2 at its relaxed geometry, from the Alexandria database.

Results
Magnetic moment (μB/cell): 2.07
Calculated volume (Å³ per cell): 553
Total DFT energy (no corrections) (eV per atom): -3.83
E_form (eV/atom): 0.17

Cell lengths 8.206, 8.206, 8.206 Å; angles 90.00, 90.00, 90.00 degrees
Space group Fm-3m (No. 225)
Inequivalent atoms, fractional coordinates:
Ca 0.000 0.000 0.000 x4
Pr 0.000 0.000 0.500 x4
Dy 0.250 0.250 0.250 x8

***

Record 10
The following is a GGA-PBE calculation of crystalline NiTePIr at its relaxed geometry, from the Alexandria database.

Results
Magnetic moment (μB/cell): 0.00
Calculated volume (Å³ per cell): 75
Total DFT energy (no corrections) (eV per atom): -6.01
Uncorrected formation energy (meV/atom): -212

Cell lengths 4.184, 3.370, 5.459 Å; angles 90.00, 101.50, 90.00 degrees
Space group Pm (No. 6)
Inequivalent atoms, fractional coordinates:
Ni 0.000 0.000 0.000 x1
Te 0.927 0.500 0.653 x1
P 0.535 0.000 0.125 x1
Ir 0.357 0.500 0.339 x1

***

Record 11
The following is a GGA-PBE calculation of crystalline Tb12NdEr6 at its relaxed geometry, from the Alexandria database.

Results
Magnetic moment (μB/cell): 0.01
Calculated volume (Å³ per cell): 1960
Total DFT energy (no corrections) (eV per atom): -4.18
E_form (eV/atom): 0.44

Cell lengths 15.0296, 15.0296, 10.0187 Å; angles 90.00, 90.00, 120.00 degrees
Space group R-3m (No. 166, hexagonal axes)
Inequivalent atoms, fractional coordinates:
Tb 0.0000 0.3894 0.0000 x18
Tb 0.0724 0.1447 0.7982 x18
Nd 0.0000 0.0000 0.5000 x3
Er 0.0504 0.5252 0.7117 x18

***

Record 12
The following is a GGA-PBE calculation of crystalline Ca2GaOs2 at its relaxed geometry, from the Alexandria database.

Results
Magnetic moment (μB/cell): 0.00
Calculated volume (Å³ per cell): 208
Total DFT energy (no corrections) (eV per atom): -5.84
E_form (eV/atom): 0.06

Cell lengths 6.588, 6.588, 4.798 Å; angles 90.00, 90.00, 90.00 degrees
Space group P4/mbm (No. 127)
Inequivalent atoms, fractional coordinates:
Ca 0.173 0.327 0.000 x4
Ga 0.000 0.000 0.500 x2
Os 0.128 0.628 0.500 x4

***

Record 13
The following is a GGA-PBE calculation of crystalline La16Tb7Nd6 at its relaxed geometry, from the Alexandria database.

Results
Magnetic moment (μB/cell): 0.03
Calculated volume (Å³ per cell): 4203
Total DFT energy (no corrections) (eV per atom): -4.64
E_form (eV/atom): 0.18

Cell lengths 16.138, 16.138, 16.138 Å; angles 90.00, 90.00, 90.00 degrees
Space group Fm-3m (No. 225)
Inequivalent atoms, fractional coordinates:
La 0.121 0.121 0.121 x32
La 0.155 0.155 0.345 x32
Tb 0.000 0.000 0.000 x4
Tb 0.000 0.250 0.250 x24
Nd 0.000 0.000 0.296 x24